(1)
AgSbPbI2 | PBE-GGA | relaxed

Computed properties:
Excess energy over the best structure of this formula in the dataset = 0.0000 eV/atom
Electronic total energy = -2.49 eV/atom
ΔE_f (raw) = 0.262 eV/atom
ρ = 6523 kg/m3
Symmetry = P4/mmm (123)

Cell: 5.633 5.633 5.540 Å, 90.00 90.00 90.00°
Fractional positions:
I 0.000 0.500 0.000
I 0.500 0.000 0.000
Pb 0.500 0.500 0.500
Sb 0.000 0.000 0.500
Ag 0.000 0.000 0.000



(2)
AgSb2PbI | PBE-GGA | relaxed

Computed properties:
Excess energy over the best structure of this formula in the dataset = 0.3808 eV/atom
Electronic total energy = -2.44 eV/atom
ΔE_f (raw) = 0.827 eV/atom
ρ = 5268 kg/m3
Symmetry = P4/mmm (123)

Cell: 5.924 5.924 6.157 Å, 90.00 90.00 90.00°
Fractional positions:
Pb 0.000 0.000 0.000
Sb 0.000 0.500 0.000
Sb 0.500 0.000 0.000
Ag 0.500 0.500 0.500
I 0.000 0.000 0.500



(3)
TaAgPb2I | PBE-GGA | relaxed

Computed properties:
Electronic total energy = -3.10 eV/atom
ΔE_f (raw) = 1.637 eV/atom
ρ = 7497 kg/m3
Symmetry = P4/mmm (123)

Cell: 5.985 5.133 5.985 Å, 90.00 90.00 90.00°
Fractional positions:
Pb 0.000 0.000 0.500
Pb 0.500 0.000 0.000
Ag 0.000 0.500 0.000
Ta 0.500 0.500 0.500
I 0.000 0.000 0.000



(4)
TbAgPbI6 | PBE-GGA | relaxed

Computed properties:
Electronic total energy = -3.11 eV/atom
ΔE_f (raw) = -0.838 eV/atom
ρ = 5516 kg/m3
Symmetry = P-31c (163)

Cell: 7.738 7.738 14.344 Å, 90.00 90.00 120.00°
Fractional positions:
Pb 0.000 0.000 0.000
Pb 0.000 0.000 0.500
I 0.001 0.650 0.872
I 0.650 0.001 0.372
I 0.999 0.350 0.128
I 0.649 0.650 0.628
I 0.350 0.351 0.872
I 0.650 0.649 0.128
I 0.001 0.351 0.628
I 0.649 0.999 0.872
I 0.351 0.001 0.128
I 0.999 0.649 0.372
I 0.350 0.999 0.628
I 0.351 0.350 0.372
Ag 0.667 0.333 0.750
Ag 0.333 0.667 0.250
Tb 0.333 0.667 0.750
Tb 0.667 0.333 0.250



Repeat the second record exactly.
AgSb2PbI | PBE-GGA | relaxed

Computed properties:
Excess energy over the best structure of this formula in the dataset = 0.3808 eV/atom
Electronic total energy = -2.44 eV/atom
ΔE_f (raw) = 0.827 eV/atom
ρ = 5268 kg/m3
Symmetry = P4/mmm (123)

Cell: 5.924 5.924 6.157 Å, 90.00 90.00 90.00°
Fractional positions:
Pb 0.000 0.000 0.000
Sb 0.000 0.500 0.000
Sb 0.500 0.000 0.000
Ag 0.500 0.500 0.500
I 0.000 0.000 0.500